# 1
Ba4Na5Zn2: relaxed, PBE-GGA.

## Properties
Density of states at the Fermi level ... 7.832 states/eV/cell
Formation enthalpy at 0 K ... -45 meV per atom
VASP energy ... -1.58 eV per atom

abc: 9.408 4.419 11.589
angles: 90.00 93.92 90.00
Space group P2/m (No. 10)
Asymmetric unit:
1 Ba 0.163 0.000 0.344 x2
2 Ba 0.208 0.000 0.948 x2
3 Na 0.189 0.500 0.653 x2
4 Na 0.451 0.500 0.180 x2
5 Na 0.500 0.500 0.500 x1
6 Zn 0.060 0.500 0.132 x2


# 2
AcTbPm4Se8: relaxed, PBE-GGA.

## Properties
Density of states at the Fermi level ... 27.423 states/eV/cell
VASP energy ... -5.71 eV per atom
Uncorrected formation energy ... -168 kJ per mole of atoms

abc: 8.7162 8.7162 21.2156
angles: 90.00 90.00 120.00
Space group R3m (No. 160, hexagonal axes)
Asymmetric unit:
1 Ac 0.0000 0.0000 0.0000 x3
2 Tb 0.0000 0.0000 0.6227 x3
3 Pm 0.0000 0.0000 0.2480 x3
4 Pm 0.0063 0.5032 0.1251 x9
5 Se 0.0000 0.0000 0.3800 x3
6 Se 0.0000 0.0000 0.8617 x3
7 Se 0.0379 0.5189 0.3770 x9
8 Se 0.1781 0.3562 0.2079 x9


# 3
CuAgOs2: relaxed, PBE-GGA.

## Properties
ΔE to the lowest computed polymorph ... 0.324 eV/atom
Density of states at the Fermi level ... 8.764 states/eV/cell
Formation enthalpy at 0 K ... 634 meV per atom
VASP energy ... -6.72 eV per atom

abc: 2.724 4.619 9.493
angles: 90.00 90.00 90.00
Space group Cmmm (No. 65)
Asymmetric unit:
1 Cu 0.000 0.000 0.000 x2
2 Ag 0.000 0.000 0.500 x2
3 Os 0.000 0.500 0.233 x4